Here is a relaxed KHfB2O6 crystal from Alexandria. Energies are from GGA-PBE.

Values from the calculation:
Its total energy is -315.20 eV/cell. The density of states at the Fermi level is 4.1 states/eV/f.u. As for the energy relative to the elements, uncorrected: -2.4645 eV/atom.

Cell and atoms, written as CIF:
```
data_KHfB2O6
_symmetry_space_group_name_H-M 'C 1 2/c 1'
_symmetry_Int_Tables_number 15
_symmetry_space_group_name_Hall '-C 2yc'
_cell_length_a 8.176
_cell_length_b 9.358
_cell_length_c 6.885
_cell_angle_alpha 90.00
_cell_angle_beta 109.87
_cell_angle_gamma 90.00
loop_
_atom_site_label
_atom_site_fract_x
_atom_site_fract_y
_atom_site_fract_z
K1 0.000 0.112 0.250
Hf1 0.000 0.416 0.750
B1 0.226 0.367 0.233
O1 0.064 0.379 0.074
O2 0.170 0.248 0.747
O3 0.244 0.020 0.632
```